Entry 1:
Crystalline Ac2HoHgSe5 at its relaxed geometry, computed with GGA-PBE.

Values from the calculation:
Calculated volume, Å³ per cell: 1009.7
Raw formation energy, eV per formula unit: -14.10

Geometry as CIF:
```
data_Ac2HoHgSe5
_symmetry_space_group_name_H-M 'C m c 21'
_symmetry_Int_Tables_number 36
_cell_length_a 4.254
_cell_length_b 18.210
_cell_length_c 13.033
_cell_angle_alpha 90.00
_cell_angle_beta 90.00
_cell_angle_gamma 90.00
loop_
_symmetry_equiv_pos_as_xyz
'x,y,z'
'-x,-y,z+1/2'
'-x,y,z'
'x,-y,z+1/2'
'x+1/2,y+1/2,z'
'-x+1/2,-y+1/2,z+1/2'
'-x+1/2,y+1/2,z'
'x+1/2,-y+1/2,z+1/2'
loop_
_atom_site_label
_atom_site_type_symbol
_atom_site_fract_x
_atom_site_fract_y
_atom_site_fract_z
Ac1 Ac 0.000 0.119 0.000
Ac2 Ac 0.000 0.133 0.623
Ho1 Ho 0.000 0.197 0.322
Hg1 Hg 0.000 0.462 0.772
Se1 Se 0.000 0.047 0.393
Se2 Se 0.000 0.291 0.973
Se3 Se 0.000 0.307 0.668
Se4 Se 0.000 0.354 0.315
Se5 Se 0.000 0.495 0.079
```


Entry 2:
Crystalline VCuSnTe2 at its relaxed geometry, computed with GGA-PBE.

Values from the calculation:
Calculated volume, Å³ per cell: 131.8
Raw formation energy, eV per formula unit: 1.89

Geometry as CIF:
```
data_VCuSnTe2
_symmetry_space_group_name_H-M 'P 4/m m m'
_symmetry_Int_Tables_number 123
_symmetry_space_group_name_Hall '-P 4 2'
_cell_length_a 5.272
_cell_length_b 5.272
_cell_length_c 4.740
_cell_angle_alpha 90.00
_cell_angle_beta 90.00
_cell_angle_gamma 90.00
loop_
_atom_site_label
_atom_site_type_symbol
_atom_site_fract_x
_atom_site_fract_y
_atom_site_fract_z
V1 V 0.000 0.000 0.000
Cu1 Cu 0.000 0.000 0.500
Sn1 Sn 0.500 0.500 0.500
Te1 Te 0.000 0.500 0.000
```


Entry 3:
Crystalline Pm4InBiTe2 at its relaxed geometry, computed with GGA-PBE.

Values from the calculation:
Calculated volume, Å³ per cell: 259.3
Raw formation energy, eV per formula unit: -8.39

Geometry as CIF:
```
data_Pm4InBiTe2
_symmetry_space_group_name_H-M 'P 1 2/m 1'
_symmetry_Int_Tables_number 10
_cell_length_a 7.859
_cell_length_b 4.429
_cell_length_c 7.864
_cell_angle_alpha 90.00
_cell_angle_beta 108.66
_cell_angle_gamma 90.00
loop_
_symmetry_equiv_pos_as_xyz
'x,y,z'
'-x,-y,-z'
'-x,y,-z'
'x,-y,z'
loop_
_atom_site_label
_atom_site_type_symbol
_atom_site_fract_x
_atom_site_fract_y
_atom_site_fract_z
Pm1 Pm 0.245 0.000 0.253
Pm2 Pm 0.248 0.500 0.748
In1 In 0.000 0.000 0.500
Bi1 Bi 0.000 0.500 0.000
Te1 Te 0.500 0.000 0.000
Te2 Te 0.500 0.500 0.500
```


Entry 4:
Crystalline Y5Rh4 at its relaxed geometry, computed with GGA-PBE.

Values from the calculation:
Offset from the most stable computed form, eV/atom: 0.3368
Calculated volume, Å³ per cell: 391.7

Geometry as CIF:
```
data_Y5Rh4
_symmetry_space_group_name_H-M 'I 4/m m m'
_symmetry_Int_Tables_number 139
_symmetry_space_group_name_Hall '-I 4 2'
_cell_length_a 8.667
_cell_length_b 8.667
_cell_length_c 5.215
_cell_angle_alpha 90.00
_cell_angle_beta 90.00
_cell_angle_gamma 90.00
loop_
_atom_site_label
_atom_site_type_symbol
_atom_site_fract_x
_atom_site_fract_y
_atom_site_fract_z
Y1 Y 0.000 0.000 0.000
Y2 Y 0.188 0.188 0.500
Rh1 Rh 0.000 0.342 0.000
```


Entry 5:
Crystalline Cs2TiAgO4 at its relaxed geometry, computed with GGA-PBE.

Values from the calculation:
Calculated volume, Å³ per cell: 1570.4
Raw formation energy, eV per formula unit: -13.39

Geometry as CIF:
```
data_Cs2TiAgO4
_symmetry_space_group_name_H-M 'F d d d'
_symmetry_Int_Tables_number 70
_cell_length_a 5.552
_cell_length_b 12.904
_cell_length_c 21.920
_cell_angle_alpha 90.00
_cell_angle_beta 90.00
_cell_angle_gamma 90.00
loop_
_symmetry_equiv_pos_as_xyz
'x,y,z'
'-x,-y,-z'
'-x+1/4,-y+1/4,z'
'x+1/4,y+1/4,-z'
'x,-y+1/4,-z+1/4'
'-x,y+1/4,z+1/4'
'-x+1/4,y,-z+1/4'
'x+1/4,-y,z+1/4'
'x,y+1/2,z+1/2'
'-x,-y+1/2,-z+1/2'
'-x+1/4,-y+3/4,z+1/2'
'x+1/4,y+3/4,-z+1/2'
'x,-y+3/4,-z+3/4'
'-x,y+3/4,z+3/4'
'-x+1/4,y+1/2,-z+3/4'
'x+1/4,-y+1/2,z+3/4'
'x+1/2,y,z+1/2'
'-x+1/2,-y,-z+1/2'
'-x+3/4,-y+1/4,z+1/2'
'x+3/4,y+1/4,-z+1/2'
'x+1/2,-y+1/4,-z+3/4'
'-x+1/2,y+1/4,z+3/4'
'-x+3/4,y,-z+3/4'
'x+3/4,-y,z+3/4'
'x+1/2,y+1/2,z'
'-x+1/2,-y+1/2,-z'
'-x+3/4,-y+3/4,z'
'x+3/4,y+3/4,-z'
'x+1/2,-y+3/4,-z+1/4'
'-x+1/2,y+3/4,z+1/4'
'-x+3/4,y+1/2,-z+1/4'
'x+3/4,-y+1/2,z+1/4'
loop_
_atom_site_label
_atom_site_type_symbol
_atom_site_fract_x
_atom_site_fract_y
_atom_site_fract_z
Cs1 Cs 0.125 0.125 0.300
Ti1 Ti 0.125 0.125 0.125
Ag1 Ag 0.125 0.125 0.625
O1 O 0.070 0.292 0.422
```


Entry 6:
Crystalline Tl2CoP at its relaxed geometry, computed with GGA-PBE.

Values from the calculation:
Offset from the most stable computed form, eV/atom: 0.6787
Calculated volume, Å³ per cell: 341.6

Geometry as CIF:
```
data_Tl2CoP
_symmetry_space_group_name_H-M 'I -4 2 d'
_symmetry_Int_Tables_number 122
_symmetry_space_group_name_Hall 'I -4 2bw'
_cell_length_a 7.600
_cell_length_b 7.600
_cell_length_c 5.914
_cell_angle_alpha 90.00
_cell_angle_beta 90.00
_cell_angle_gamma 90.00
loop_
_atom_site_label
_atom_site_type_symbol
_atom_site_fract_x
_atom_site_fract_y
_atom_site_fract_z
Tl1 Tl 0.242 0.750 0.125
Co1 Co 0.000 0.000 0.000
P1 P 0.000 0.000 0.500
```


Entry 7:
Crystalline AlZn2Rh at its relaxed geometry, computed with GGA-PBE.

Values from the calculation:
Calculated volume, Å³ per cell: 225.5
Total DFT energy (no corrections), eV for the cell shown: -61.85

Geometry as CIF:
```
data_AlZn2Rh
_symmetry_space_group_name_H-M 'F 2 2 2'
_symmetry_Int_Tables_number 22
_symmetry_space_group_name_Hall 'F 2 2'
_cell_length_a 5.342
_cell_length_b 5.349
_cell_length_c 7.890
_cell_angle_alpha 90.00
_cell_angle_beta 90.00
_cell_angle_gamma 90.00
loop_
_atom_site_label
_atom_site_type_symbol
_atom_site_fract_x
_atom_site_fract_y
_atom_site_fract_z
Al1 Al 0.000 0.000 0.000
Zn1 Zn 0.000 0.000 0.500
Zn2 Zn 0.250 0.250 0.250
Rh1 Rh 0.250 0.250 0.750
```


Entry 8:
Crystalline Pm2NdSm at its relaxed geometry, computed with GGA-PBE.

Values from the calculation:
Offset from the most stable computed form, eV/atom: 0.0001
Calculated volume, Å³ per cell: 413.5

Geometry as CIF:
```
data_Pm2NdSm
_symmetry_space_group_name_H-M 'R -3 m'
_symmetry_Int_Tables_number 166
_symmetry_space_group_name_Hall '-R 3 2"'
_cell_length_a 3.6520
_cell_length_b 3.6520
_cell_length_c 35.7989
_cell_angle_alpha 90.00
_cell_angle_beta 90.00
_cell_angle_gamma 120.00
loop_
_atom_site_label
_atom_site_type_symbol
_atom_site_fract_x
_atom_site_fract_y
_atom_site_fract_z
Pm1 Pm 0.0000 0.0000 0.2495
Nd1 Nd 0.0000 0.0000 0.0000
Sm1 Sm 0.0000 0.0000 0.5000
```


| no. | size of the total moment (μB/cell) |
| --- | --- |
| 1 | 0.000 |
| 2 | 1.933 |
| 3 | 0.000 |
| 4 | 0.000 |
| 5 | 8.469 |
| 6 | 5.988 |
| 7 | 0.000 |
| 8 | 0.000 |